(1)
A plane-wave DFT calculation with PBE was carried out for a geometry-optimized HfTi5C6 structure.

a = 5.3859 Å, b = 9.3197 Å, c = 5.3850 Å
α = 90.00°, β = 109.51°, γ = 90.00°
With the nearest neighbours (Å) after each atom.
Space group C2/m (No. 12)
Inequivalent atoms, fractional coordinates:
Hf: 0.0000 0.0000 0.0000 x2  6 C 2.24
Ti: 0.0000 0.1673 0.5000 x4  6 C 2.15-2.20
Ti: 0.0000 0.3334 0.0000 x4  6 C 2.19-2.20
Ti: 0.0000 0.5000 0.5000 x2  6 C 2.16-2.20
C: 0.2445 0.5000 0.2540 x4  5 Ti 2.16-2.20, 1 Hf 2.24
C: 0.2450 0.3299 0.7451 x8  5 Ti 2.15-2.20, 1 Hf 2.24

The value obtained for the energy is -0.70069 Ry per atom. As for the energy of formation from the pure elements: -929 kJ/mol of formula units. Its density of states at the Fermi level is 0.183 states/eV per atom.

---

(2)
A plane-wave DFT calculation with PBE was carried out for a geometry-optimized LiMgIr2 structure.

a = 2.9148 Å, b = 4.6097 Å, c = 8.6658 Å
α = 90.00°, β = 90.00°, γ = 90.00°
With the nearest neighbours (Å) after each atom.
Space group Cmmm (No. 65)
Inequivalent atoms, fractional coordinates:
Li: 0.0000 0.0000 0.0000 x2  4 Ir 2.61, 6 Li 2.73-2.91
Mg: 0.0000 0.0000 0.5000 x2  4 Ir 2.62, 6 Mg 2.73-2.91
Ir: 0.0000 0.5000 0.2494 x4  2 Li 2.61, 2 Mg 2.62, 6 Ir 2.73-2.91

The value obtained for the energy is -0.40225 Ry per atom. As for the energy of formation from the pure elements: -64 kJ/mol of formula units. Its density of states at the Fermi level is 0.819 states/eV per atom.

---

(3)
A plane-wave DFT calculation with PBE was carried out for a geometry-optimized Li4YCr structure.

a = 7.7760 Å, b = 7.7760 Å, c = 7.7760 Å
α = 90.00°, β = 90.00°, γ = 90.00°
With the nearest neighbours (Å) after each atom.
Space group F-43m (No. 216)
Inequivalent atoms, fractional coordinates:
Li: 0.1222 0.1222 0.3778 x16  6 Li 2.69-2.81
Y: 0.0000 0.0000 0.0000 x4  12 Li 3.23, 4 Cr 3.37
Cr: 0.2500 0.2500 0.7500 x4  12 Li 3.22, 4 Y 3.37

The value obtained for the energy is -0.27163 Ry per atom. As for the energy of formation from the pure elements: 151 kJ/mol of formula units. Its density of states at the Fermi level is 0.693 states/eV per atom.

---

(4)
A plane-wave DFT calculation with PBE was carried out for a geometry-optimized NbSiTeN2 structure.

a = 3.7217 Å, b = 3.7217 Å, c = 5.6721 Å
α = 90.00°, β = 90.00°, γ = 90.00°
With the nearest neighbours (Å) after each atom.
Space group P4/mmm (No. 123)
Inequivalent atoms, fractional coordinates:
Nb: 0.0000 0.0000 0.0000 x1  4 Te 2.63
Si: 0.5000 0.5000 0.5000 x1  4 N 1.86
Te: 0.5000 0.5000 0.0000 x1  4 Nb 2.63, 2 Si 2.84
N: 0.0000 0.5000 0.5000 x2  2 Si 1.86

The value obtained for the energy is -0.44348 Ry per atom. Its density of states at the Fermi level is 0.629 states/eV per atom. As for the energy relative to the elements, uncorrected: 1.0232 eV per atom.

---

(5)
A plane-wave DFT calculation with PBE was carried out for a geometry-optimized Sm2HoTm structure.

a = 3.5884 Å, b = 3.5884 Å, c = 34.5906 Å
α = 90.00°, β = 90.00°, γ = 120.00°
With the nearest neighbours (Å) after each atom.
Space group R3m (No. 160, hexagonal axes)
Inequivalent atoms, fractional coordinates:
Sm: 0.0000 0.0000 0.0000 x3  3 Ho 3.55, 3 Tm 3.56, 6 Sm 3.59
Sm: 0.0000 0.0000 0.1668 x3  3 Tm 3.54, 3 Ho 3.55, 6 Sm 3.59
Ho: 0.0000 0.0000 0.7501 x3  6 Sm 3.55, 6 Ho 3.59
Tm: 0.0000 0.0000 0.5830 x3  6 Sm 3.54-3.56, 6 Tm 3.59

The value obtained for the energy is -0.33847 Ry per atom. As for the energy of formation from the pure elements: 6 kJ/mol of formula units. Its density of states at the Fermi level is 1.422 states/eV per atom.

---

(6)
A plane-wave DFT calculation with PBE was carried out for a geometry-optimized Al4HgIr structure.

a = 7.3435 Å, b = 7.3435 Å, c = 7.3435 Å
α = 90.00°, β = 90.00°, γ = 90.00°
With the nearest neighbours (Å) after each atom.
Space group F-43m (No. 216)
Inequivalent atoms, fractional coordinates:
Al: 0.1241 0.1241 0.3759 x16  6 Al 2.58-2.62
Hg: 0.0000 0.0000 0.0000 x4  12 Al 3.05, 4 Ir 3.18
Ir: 0.2500 0.2500 0.7500 x4  12 Al 3.04, 4 Hg 3.18

The value obtained for the energy is -0.28114 Ry per atom. As for the energy of formation from the pure elements: 114 kJ/mol of formula units. Its density of states at the Fermi level is 0.609 states/eV per atom.

---

Look up the energy of the first one.
-0.70069 Ry per atom

---

Number 3 is which compound?
Li4YCr